Sr2Hg2Au PBE-GGA optimized geometry; offset from the most stable computed form = 0.674 eV per formula unit; magnetic moment = 0.0 μB per formula unit; calculated formation energy = -0.44 eV/atom; N(E_F) = 3.447 states/eV per cell; uncorrected energy = -1.89 eV per atom
1.0
4.2018 0.0000 0.0000
0.0000 4.2018 0.0000
2.1009 2.1009 9.0475
Hg Sr Au
2 2 1
Cartesian
2.1009 4.2018 4.5237 Hg
4.2018 2.1009 4.5237 Hg
2.1009 2.1009 1.7963 Sr
4.2018 4.2018 7.2512 Sr
0.0000 0.0000 0.0000 Au

***

BiB3Rh PBE-GGA optimized geometry; offset from the most stable computed form = 8.404 eV per formula unit; magnetic moment = 0.0 μB per formula unit; calculated formation energy = 2.83 eV/atom; N(E_F) = 4.747 states/eV per cell; uncorrected energy = -3.42 eV per atom
1.0
4.5773 0.0000 0.0000
0.0000 4.5773 0.0000
0.0000 0.0000 4.5773
Rh B Bi
1 3 1
Cartesian
2.2887 2.2887 2.2887 Rh
2.2887 0.0000 0.0000 B
0.0000 2.2887 0.0000 B
0.0000 0.0000 2.2887 B
0.0000 0.0000 0.0000 Bi

***

AlNi2Sn PBE-GGA optimized geometry; magnetic moment = 0.0 μB per formula unit; calculated formation energy = 0.09 eV/atom; N(E_F) = 4.110 states/eV per cell; uncorrected energy = -4.74 eV per atom
1.0
-6.1580 1.6167 2.4218
-2.6247 -5.5350 -2.9790
-3.8858 -3.4132 1.9775
Al Sn Ni
2 2 4
Cartesian
-4.3914 -1.9591 -0.2786 Al
-5.4509 -5.4536 -0.6401 Al
0.0000 0.0000 0.0000 Sn
-7.2176 -1.8778 2.0603 Sn
-6.2953 -4.2136 1.1749 Ni
-4.9431 -0.5886 1.5549 Ni
-10.5118 -5.8039 1.0948 Ni
-3.5868 -4.0567 -0.9841 Ni

***

DyHo6Zr PBE-GGA optimized geometry; offset from the most stable computed form = 0.000 eV per formula unit; magnetic moment = 0.0 μB per formula unit; calculated formation energy = 0.24 eV/atom; N(E_F) = 14.050 states/eV per cell; uncorrected energy = -4.83 eV per atom
1.0
6.1574 -0.2727 2.5090
0.3448 6.3160 -0.6756
1.1813 -0.9519 6.8336
Ho Dy Zr
6 1 1
Cartesian
1.3622 4.1921 3.2336 Ho
6.3214 0.8993 5.4333 Ho
3.6080 4.6270 0.9451 Ho
3.3369 0.8621 4.1049 Ho
4.0756 0.4644 7.7218 Ho
4.3467 4.2293 4.5620 Ho
0.1724 3.1580 -0.3378 Dy
0.0000 0.0000 0.0000 Zr

***

NaLaCl3 PBE-GGA optimized geometry; offset from the most stable computed form = 1.059 eV per formula unit; magnetic moment = 0.5 μB per formula unit; N(E_F) = 5.538 states/eV per cell; uncorrected energy = -4.09 eV per atom
1.0
-3.6390 4.2388 0.7545
-1.0809 -1.8557 5.2122
4.1675 3.2200 2.0107
Cl Na La
3 1 1
Cartesian
-0.5405 -0.9279 2.6061 Cl
2.0838 1.6100 1.0054 Cl
-1.8195 2.1194 0.3772 Cl
-0.2762 2.8015 3.9887 Na
0.0000 0.0000 0.0000 La

***

Dy2ThZrP4 PBE-GGA optimized geometry; magnetic moment = 0.0 μB per formula unit; calculated formation energy = -1.50 eV/atom; N(E_F) = 3.987 states/eV per cell; uncorrected energy = -7.35 eV per atom
1.0
-0.1375 3.9679 -0.2418
0.1830 -0.4125 -6.8732
-6.5516 -0.0977 2.1237
P Dy Th Zr
4 2 1 1
Cartesian
-1.6120 1.8627 -1.2330 P
-4.8669 -0.1713 -0.0429 P
-4.8941 1.5950 -3.7584 P
-1.5017 -0.3389 -4.7067 P
-3.1843 -0.2551 -2.3748 Dy
-3.3446 1.9351 0.9409 Dy
0.0227 1.7777 -3.5575 Th
0.0000 0.0000 0.0000 Zr